Entry 1
Computed, not measured: a relaxed structure of Y3TiBr at the PBE level of DFT.

DOS(E_F) (states/eV per cell): 12.94
Calculated volume (Å³ per atom): 30.0

Lattice parameters (Å, degrees): 5.315 5.315 5.315 90.00 90.00 90.00
Space group Pm-3m (No. 221)
Inequivalent atoms, fractional coordinates:
Y  0.000  0.000  0.500 (multiplicity 3)
Ti  0.500  0.500  0.500 (multiplicity 1)
Br  0.000  0.000  0.000 (multiplicity 1)


Entry 2
Computed, not measured: a relaxed structure of Y3TiBr at the PBE level of DFT.

DOS(E_F) (states/eV per cell): 2.83
Calculated volume (Å³ per atom): 33.0

Lattice parameters (Å, degrees): 5.487 5.487 5.487 90.00 90.00 90.00
Space group Pm-3m (No. 221)
Inequivalent atoms, fractional coordinates:
Y  0.000  0.000  0.500 (multiplicity 3)
Ti  0.000  0.000  0.000 (multiplicity 1)
Br  0.500  0.500  0.500 (multiplicity 1)


Tell me which of them is the least stable. Sure, it is entry 2.


Entry 1
Computed, not measured: a relaxed structure of Y2Ti2Br at the PBE level of DFT.

DOS(E_F) (states/eV per cell): 8.29
Calculated volume (Å³ per atom): 25.5

Lattice parameters (Å, degrees): 3.693 3.693 18.691 90.00 90.00 90.00
Space group I4/mmm (No. 139)
Inequivalent atoms, fractional coordinates:
Y  0.000  0.000  0.114 (multiplicity 4)
Ti  0.000  0.500  0.250 (multiplicity 4)
Br  0.000  0.000  0.500 (multiplicity 2)


Entry 2
Computed, not measured: a relaxed structure of Y2Ti2Br at the PBE level of DFT.

DOS(E_F) (states/eV per cell): 6.65
Calculated volume (Å³ per atom): 26.5

Lattice parameters (Å, degrees): 8.454 8.454 3.710 90.00 90.00 90.00
Space group P4/mbm (No. 127)
Inequivalent atoms, fractional coordinates:
Y  0.200  0.300  0.000 (multiplicity 4)
Ti  0.087  0.587  0.500 (multiplicity 4)
Br  0.000  0.000  0.000 (multiplicity 2)


Tell me which of them is the least stable. Sure, it is entry 2.


Entry 1
Computed, not measured: a relaxed structure of YTi3Br at the PBE level of DFT.

DOS(E_F) (states/eV per cell): 6.82
Calculated volume (Å³ per atom): 26.5

Lattice parameters (Å, degrees): 5.096 5.096 5.096 90.00 90.00 90.00
Space group Pm-3m (No. 221)
Inequivalent atoms, fractional coordinates:
Y  0.000  0.000  0.000 (multiplicity 1)
Ti  0.000  0.000  0.500 (multiplicity 3)
Br  0.500  0.500  0.500 (multiplicity 1)


Entry 2
Computed, not measured: a relaxed structure of YTi3Br at the PBE level of DFT.

DOS(E_F) (states/eV per cell): 9.03
Calculated volume (Å³ per atom): 22.0

Lattice parameters (Å, degrees): 4.789 4.789 4.789 90.00 90.00 90.00
Space group Pm-3m (No. 221)
Inequivalent atoms, fractional coordinates:
Y  0.000  0.000  0.000 (multiplicity 1)
Ti  0.000  0.500  0.500 (multiplicity 3)
Br  0.500  0.500  0.500 (multiplicity 1)


Tell me which of them is the least stable. Sure, it is entry 1.


Entry 1
Computed, not measured: a relaxed structure of YTiBr3 at the PBE level of DFT.

DOS(E_F) (states/eV per cell): 4.31
Calculated volume (Å³ per atom): 28.3

Lattice parameters (Å, degrees): 5.210 5.210 5.210 90.00 90.00 90.00
Space group Pm-3m (No. 221)
Inequivalent atoms, fractional coordinates:
Y  0.000  0.000  0.000 (multiplicity 1)
Ti  0.500  0.500  0.500 (multiplicity 1)
Br  0.000  0.500  0.500 (multiplicity 3)


Entry 2
Computed, not measured: a relaxed structure of YTiBr3 at the PBE level of DFT.

DOS(E_F) (states/eV per cell): 9.29
Calculated volume (Å³ per atom): 35.1

Lattice parameters (Å, degrees): 5.598 5.598 5.598 90.00 90.00 90.00
Space group Pm-3m (No. 221)
Inequivalent atoms, fractional coordinates:
Y  0.000  0.000  0.000 (multiplicity 1)
Ti  0.500  0.500  0.500 (multiplicity 1)
Br  0.000  0.000  0.500 (multiplicity 3)


Tell me which of them is the least stable. Sure, it is entry 2.


Entry 1
Computed, not measured: a relaxed structure of ZrTiBr4 at the PBE level of DFT.

Calculated volume (Å³ per atom): 30.9

Lattice parameters (Å, degrees): 6.924 7.441 8.854 75.12 67.07 62.33
Space group P-1 (No. 2)
Inequivalent atoms, fractional coordinates:
Zr  0.151  0.348  0.103 (multiplicity 2)
Ti  0.357  0.637  0.904 (multiplicity 2)
Br  0.060  0.241  0.873 (multiplicity 2)
Br  0.185  0.741  0.660 (multiplicity 2)
Br  0.332  0.264  0.343 (multiplicity 2)
Br  0.426  0.756  0.127 (multiplicity 2)


Entry 2
Computed, not measured: a relaxed structure of ZrTiBr4 at the PBE level of DFT.

Calculated volume (Å³ per atom): 27.9

Lattice parameters (Å, degrees): 15.294 3.472 6.391 90.00 99.57 90.00
Space group Cm (No. 8)
Inequivalent atoms, fractional coordinates:
Zr  0.000  0.000  0.000 (multiplicity 2)
Ti  0.495  0.000  0.615 (multiplicity 2)
Br  0.093  0.000  0.431 (multiplicity 2)
Br  0.131  0.500  0.930 (multiplicity 2)
Br  0.369  0.500  0.658 (multiplicity 2)
Br  0.394  0.000  0.187 (multiplicity 2)


Tell me which of them is the least stable. Sure, it is entry 1.


Entry 1
Computed, not measured: a relaxed structure of ZrTi3Br at the PBE level of DFT.

DOS(E_F) (states/eV per cell): 5.03
Calculated volume (Å³ per atom): 20.5

Lattice parameters (Å, degrees): 4.683 4.683 4.683 90.00 90.00 90.00
Space group Pm-3m (No. 221)
Inequivalent atoms, fractional coordinates:
Zr  0.000  0.000  0.000 (multiplicity 1)
Ti  0.000  0.500  0.500 (multiplicity 3)
Br  0.500  0.500  0.500 (multiplicity 1)


Entry 2
Computed, not measured: a relaxed structure of ZrTi3Br at the PBE level of DFT.

DOS(E_F) (states/eV per cell): 5.25
Calculated volume (Å³ per atom): 25.0

Lattice parameters (Å, degrees): 5.002 5.002 5.002 90.00 90.00 90.00
Space group Pm-3m (No. 221)
Inequivalent atoms, fractional coordinates:
Zr  0.000  0.000  0.000 (multiplicity 1)
Ti  0.000  0.000  0.500 (multiplicity 3)
Br  0.500  0.500  0.500 (multiplicity 1)


Tell me which of them is the least stable. Sure, it is entry 2.